A plane-wave DFT calculation with GGA-PBE was carried out for crystalline AgPtSe2 at its relaxed geometry.

Unit cell a=3.344 b=3.344 c=7.758 alpha=90.00 beta=90.00 gamma=90.00
Atoms (fractional coordinates):
Ag 0.000 0.000 0.000
Pt 0.500 0.500 0.260
Se 0.000 0.000 0.378
Se 0.500 0.500 0.806

Symmetry: P4mm (99)
VASP energy: -0.28386 Ry per atom
Total magnetization: 0.00 μB per formula unit
Uncorrected formation energy: 0.4 eV per formula unit
Crystal system: tetragonal

A plane-wave DFT calculation with GGA-PBE was carried out for crystalline AgPtSe2 at its relaxed geometry.

Unit cell a=6.241 b=6.241 c=6.241 alpha=145.15 beta=137.48 gamma=56.10
Atoms (fractional coordinates):
Ag 0.000 0.000 0.000
Pt 0.500 0.500 0.000
Se 0.351 0.851 0.500
Se 0.649 0.149 0.500

Symmetry: Immm (71)
VASP energy: -0.30142 Ry per atom
Total magnetization: 0.00 μB per formula unit
Uncorrected formation energy: -0.5 eV per formula unit
Crystal system: orthorhombic

A plane-wave DFT calculation with GGA-PBE was carried out for crystalline Ta2Ag2PtSe6 at its relaxed geometry.

Unit cell a=6.448 b=6.448 c=8.181 alpha=98.69 beta=98.69 gamma=124.32
Atoms (fractional coordinates):
Ta 0.128 0.872 0.000
Ta 0.872 0.128 0.000
Ag 0.203 0.797 0.500
Ag 0.797 0.203 0.500
Pt 0.500 0.500 0.000
Se 0.079 0.443 0.815
Se 0.283 0.283 0.231
Se 0.443 0.079 0.815
Se 0.557 0.921 0.185
Se 0.717 0.717 0.769
Se 0.921 0.557 0.185

Symmetry: C2/m (12)
VASP energy: -0.40198 Ry per atom
Total magnetization: 0.00 μB per formula unit
Uncorrected formation energy: -3.8 eV per formula unit
Crystal system: monoclinic